# 1
{"formula": "CrInPt2", "functional": "GGA-PBEsol", "state": "relaxed", "lattice": [[2.902, 0.000, 0.000], [0.000, 3.719, 0.000], [0.000, 0.000, 5.822]], "species": ["Cr", "In", "Pt", "Pt"], "frac_coords": [[0.000, 0.000, 0.000], [0.000, 0.000, 0.500], [0.500, 0.500, 0.236], [0.500, 0.500, 0.764]], "crystal_system": "orthorhombic", "ef_mev_per_atom": -212, "dos_at_fermi_per_ev_fu": 3.2, "final_energy_ev_per_atom": -7.000, "sg": "Pmmm"}

=====

# 2
{"formula": "YCrIn2Pt", "functional": "GGA-PBEsol", "state": "relaxed", "lattice": [[5.473, 0.000, 0.000], [0.000, 5.473, 0.000], [0.000, 0.000, 4.565]], "species": ["Y", "Cr", "In", "In", "Pt"], "frac_coords": [[0.000, 0.000, 0.000], [0.000, 0.000, 0.500], [0.000, 0.500, 0.000], [0.500, 0.000, 0.000], [0.500, 0.500, 0.500]], "crystal_system": "tetragonal", "ef_mev_per_atom": 1669, "dos_at_fermi_per_ev_fu": 5.0, "final_energy_ev_per_atom": -4.329, "sg": "P4/mmm"}

=====

| no. | density (kg/m3) |
| --- | --- |
| 1 | 14721 |
| 2 | 6869 |